An optimized crystal structure of KSeS2N, computed with PBE.

Properties
Uncorrected energy: -3.65 eV per atom
ΔE_f (raw): 0.58 eV per atom
Energy above the most stable polymorph in this dataset: 0 meV per atom
Crystal system: tetragonal

Cell: 5.0276 5.0276 4.1400 Å, 90.00 90.00 90.00°
Space group P4/mmm (No. 123)
One atom of each set of equivalent atoms:
K (0.0000, 0.0000, 0.0000) [1 per cell]
Se (0.5000, 0.5000, 0.5000) [1 per cell]
S (0.0000, 0.5000, 0.5000) [2 per cell]
N (0.5000, 0.5000, 0.0000) [1 per cell]